Computed, not measured: crystalline SrAlSi2P at its relaxed geometry at the PBE-GGA level of DFT.

## Properties
- Raw formation energy: 1936 meV/atom
- VASP energy: -2.40 eV/atom
- Crystal system: tetragonal

abc: 5.493 5.493 5.727
angles: 90.00 90.00 90.00
Space group P4/mmm (No. 123)
Asymmetric unit:
Sr 0.000 0.000 0.000
Al 0.000 0.000 0.500
Si 0.000 0.500 0.000
P 0.500 0.500 0.500

***

Computed, not measured: crystalline TaAl2SiP at its relaxed geometry at the PBE-GGA level of DFT.

## Properties
- Raw formation energy: 1080 meV/atom
- VASP energy: -4.95 eV/atom
- Crystal system: tetragonal

abc: 4.579 4.579 4.576
angles: 90.00 90.00 90.00
Space group P4/mmm (No. 123)
Asymmetric unit:
Ta 0.000 0.000 0.000
Al 0.000 0.500 0.500
Si 0.500 0.500 0.500
P 0.500 0.500 0.000

***

Computed, not measured: crystalline YAlSi2P at its relaxed geometry at the PBE-GGA level of DFT.

## Properties
- Raw formation energy: 280 meV/atom
- VASP energy: -5.01 eV/atom
- Crystal system: tetragonal

abc: 4.699 4.699 4.797
angles: 90.00 90.00 90.00
Space group P4/mmm (No. 123)
Asymmetric unit:
Y 0.000 0.000 0.000
Al 0.500 0.500 0.500
Si 0.000 0.500 0.500
P 0.500 0.500 0.000

***

Computed, not measured: crystalline AlSn2P at its relaxed geometry at the PBE-GGA level of DFT.

## Properties
- ΔE_f: 0.331 eV per atom
- VASP energy: -3.96 eV/atom
- Crystal system: cubic

abc: 7.065 7.065 7.065
angles: 90.00 90.00 90.00
Space group Fm-3m (No. 225)
Asymmetric unit:
Al 0.000 0.000 0.000
Sn 0.250 0.250 0.250
P 0.000 0.000 0.500